*A*
Below is LiGeP2O after structural relaxation, with properties calculated at the PBE level.

Lattice parameters (Å, degrees): 4.731 4.731 3.280 90.00 90.00 90.00
Space group P4/mmm (No. 123)
One atom of each set of equivalent atoms:
Li 0.000 0.000 0.000
Ge 0.500 0.500 0.500
P 0.000 0.500 0.000
O 0.000 0.000 0.500

## Properties
volume	14.7	Å³/atom
N(E_F)	0.8328	states/eV/atom



*B*
Below is LiGeP2O after structural relaxation, with properties calculated at the PBE level.

Lattice parameters (Å, degrees): 5.016 5.016 3.533 90.00 90.00 90.00
Space group P4/mmm (No. 123)
One atom of each set of equivalent atoms:
Li 0.000 0.000 0.000
Ge 0.500 0.500 0.500
P 0.000 0.500 0.500
O 0.500 0.500 0.000

## Properties
volume	17.8	Å³/atom
N(E_F)	0.7096	states/eV/atom



Which structure is most stable? *B*, by 284 meV per atom over the runner-up.



*A*
Below is LiGePO2 after structural relaxation, with properties calculated at the PBE level.

Lattice parameters (Å, degrees): 3.658 3.658 4.667 90.00 90.00 90.00
Space group P4/mmm (No. 123)
One atom of each set of equivalent atoms:
Li 0.000 0.000 0.000
Ge 0.500 0.500 0.500
P 0.000 0.000 0.500
O 0.000 0.500 0.000

## Properties
volume	12.5	Å³/atom
N(E_F)	0.5564	states/eV/atom



*B*
Below is LiGePO2 after structural relaxation, with properties calculated at the PBE level.

Lattice parameters (Å, degrees): 3.664 3.664 5.275 90.00 90.00 90.00
Space group P4/mmm (No. 123)
One atom of each set of equivalent atoms:
Li 0.000 0.000 0.000
Ge 0.500 0.500 0.500
P 0.500 0.500 0.000
O 0.000 0.500 0.500

## Properties
volume	14.2	Å³/atom
N(E_F)	0.8424	states/eV/atom



Which structure is most stable? *B*, by 587 meV per atom over the runner-up.



*A*
Below is LiScGe2O6 after structural relaxation, with properties calculated at the PBE level.

Lattice parameters (Å, degrees): 10.086 9.285 5.511 90.00 107.94 90.00
Space group C2/c (No. 15)
One atom of each set of equivalent atoms:
Li 0.000 0.239 0.250
Sc 0.000 0.106 0.750
Ge 0.199 0.411 0.742
O 0.115 0.081 0.143
O 0.122 0.246 0.628
O 0.139 0.454 0.004

## Properties
volume	12.3	Å³/atom
N(E_F)	0.0000	states/eV/atom



*B*
Below is LiScGe2O6 after structural relaxation, with properties calculated at the PBE level.

Lattice parameters (Å, degrees): 9.838 9.205 5.524 90.00 102.61 90.00
Space group P2_1/c (No. 14)
One atom of each set of equivalent atoms:
Li 0.248 0.005 0.469
Sc 0.249 0.646 0.468
Ge 0.052 0.163 0.808
Ge 0.451 0.162 0.247
O 0.108 0.191 0.137
O 0.133 0.005 0.741
O 0.133 0.667 0.754
O 0.364 0.670 0.187
O 0.380 0.510 0.687
O 0.382 0.210 0.509

## Properties
volume	12.2	Å³/atom
N(E_F)	0.0000	states/eV/atom



Which structure is most stable? *B*, by 7 meV per atom over the runner-up.



*A*
Below is LiTi2GeO after structural relaxation, with properties calculated at the PBE level.

Lattice parameters (Å, degrees): 4.781 4.781 4.306 90.00 90.00 90.00
Space group P4/mmm (No. 123)
One atom of each set of equivalent atoms:
Li 0.000 0.000 0.000
Ti 0.000 0.500 0.500
Ge 0.000 0.000 0.500
O 0.500 0.500 0.000

## Properties
volume	19.7	Å³/atom
N(E_F)	2.6943	states/eV/atom



*B*
Below is LiTi2GeO after structural relaxation, with properties calculated at the PBE level.

Lattice parameters (Å, degrees): 4.114 4.114 3.816 90.00 90.00 90.00
Space group P4/mmm (No. 123)
One atom of each set of equivalent atoms:
Li 0.000 0.000 0.000
Ti 0.000 0.500 0.500
Ge 0.500 0.500 0.000
O 0.000 0.000 0.500

## Properties
volume	12.9	Å³/atom
N(E_F)	0.7993	states/eV/atom



Which structure is most stable? *B*, by 1903 meV per atom over the runner-up.